1.
An optimized crystal structure of K2W2O5, computed with PBE+U.

Properties
The value obtained for the total DFT energy (no corrections) is -113.08 eV for the cell shown. The calculation puts the relative energy among the computed polymorphs at 0.075 eV/atom. The space group is Ima2, No. 46.

```
18
Lattice="9.076 0.013 -0.004 5.199 7.440 0.004 -7.123 -3.756 4.189" Properties=species:S:1:pos:R:3 pbc="T T T"
K 6.555 1.124 1.996
K 2.469 -1.010 1.996
K 4.695 4.686 2.168
K 0.609 2.553 2.168
O 2.576 3.766 0.934
O -1.034 1.719 4.144
O 7.274 3.727 2.035
O 5.181 2.726 3.977
O 2.046 0.829 0.050
O 5.084 -1.039 2.150
O -0.078 -0.111 2.035
O 1.939 1.034 3.977
O 5.288 2.521 0.050
O 1.119 -1.882 4.140
W 0.046 -0.088 4.121
W -1.892 3.625 4.125
W -3.783 -1.454 4.143
W 10.730 5.545 0.495
```

***

2.
An optimized crystal structure of KWO3, computed with PBE+U.

Properties
The value obtained for the total DFT energy (no corrections) is -131.31 eV for the cell shown. The space group is C2/c, No. 15.

```
20
Lattice="-10.025 -1.133 8.611 -6.532 -4.608 0.661 5.714 -4.850 -2.856" Properties=species:S:1:pos:R:3 pbc="T T T"
W -7.701 -6.751 5.722
W -3.141 -3.840 0.694
W -8.638 -4.049 3.642
W -2.204 -6.542 2.773
O 2.038 -4.867 -1.110
O -1.733 -5.145 1.492
O -9.032 -1.912 7.054
O -7.121 -3.318 4.932
O -4.256 -4.087 2.112
O -2.064 -2.226 0.748
O -12.880 -5.724 7.525
O -8.779 -8.365 5.667
O -3.721 -7.273 1.484
O -6.586 -6.505 4.304
O -1.811 -8.679 -0.638
O -9.109 -5.446 4.923
K -4.772 -4.559 4.732
K 0.012 -6.632 -0.186
K -6.070 -6.032 1.683
K -10.854 -3.959 6.602
```